Y3BiB2Rh9 after structural relaxation. Source: Alexandria, functional GGA-PBE.

```
Y3BiB2Rh9
1.0
-3.170 0.143 -4.937
1.934 -5.128 2.098
-7.593 -0.880 4.849
Bi Rh Y B
1 9 3 2
Cartesian
-3.797 -0.440 2.425
-6.324 -1.434 2.325
-0.875 -4.505 2.225
-1.870 -1.867 1.146
-1.585 0.071 -2.469
0.967 -2.564 1.049
-0.618 -2.493 -1.420
-2.505 -4.431 -0.314
-7.954 -1.360 -0.215
-6.959 -3.998 0.864
-3.628 -1.864 -1.213
0.000 0.000 0.000
-5.201 -4.001 3.223
-0.854 -3.497 0.447
-7.975 -2.368 1.563
```

## Properties
**Crystal system**: trigonal
**DFT formation energy**: -549 meV/atom
**Space group**: P-3m1, No. 164



Bi2BRu2 after structural relaxation. Source: Alexandria, functional GGA-PBE.

```
Bi2BRu2
1.0
-3.613 3.406 -2.357
0.047 -3.093 -4.543
-4.366 -1.719 -2.200
B Bi Ru
1 2 2
Cartesian
0.000 0.000 0.000
-3.051 -2.328 -5.097
-4.881 0.922 -4.004
-5.005 -0.731 -6.204
-2.927 -0.674 -2.897
```

## Properties
**Crystal system**: tetragonal
**DFT formation energy**: 615 meV/atom
**Space group**: I4/mmm, No. 139
**Polymorph energy (0 for the lowest one)**: 0.051 eV per atom



Bi2BRu4 after structural relaxation. Source: Alexandria, functional GGA-PBE.

```
Bi2BRu4
1.0
-4.094 0.607 -0.583
-0.838 -3.185 2.573
-2.584 3.090 6.379
Bi Ru B
2 4 1
Cartesian
-5.015 0.507 5.783
-2.501 0.005 2.586
-2.047 0.303 -0.291
-0.419 -1.593 1.286
-4.967 -1.303 3.558
-2.549 1.815 4.811
0.000 0.000 0.000
```

## Properties
**Crystal system**: tetragonal
**DFT formation energy**: 309 meV/atom
**Space group**: I4/mmm, No. 139



BiB2Ru after structural relaxation. Source: Alexandria, functional GGA-PBE.

```
BiB2Ru
1.0
5.163 0.000 0.000
0.000 5.163 0.000
2.582 2.582 5.197
B Ru Bi
4 2 2
Cartesian
3.872 4.337 3.897
1.756 3.872 1.299
6.454 5.989 3.897
3.407 1.291 1.299
2.582 5.163 2.598
2.582 2.582 0.000
0.000 0.000 0.000
5.163 2.582 2.598
```

## Properties
**Crystal system**: tetragonal
**DFT formation energy**: 689 meV/atom
**Space group**: I-42d, No. 122



Bi3BRu after structural relaxation. Source: Alexandria, functional GGA-PBE.

```
Bi3BRu
1.0
5.266 0.000 0.000
0.000 5.266 0.000
0.000 0.000 5.266
Bi Ru B
3 1 1
Cartesian
0.000 2.633 0.000
2.633 0.000 0.000
0.000 0.000 2.633
0.000 0.000 0.000
2.633 2.633 2.633
```

## Properties
**Crystal system**: cubic
**DFT formation energy**: 1315 meV/atom
**Space group**: Pm-3m, No. 221
**Polymorph energy (0 for the lowest one)**: 0.109 eV per atom



BiBRu3 after structural relaxation. Source: Alexandria, functional GGA-PBE.

```
BiBRu3
1.0
5.022 0.000 0.000
0.000 5.022 0.000
0.000 0.000 5.022
Ru B Bi
3 1 1
Cartesian
0.000 2.511 0.000
2.511 0.000 0.000
0.000 0.000 2.511
2.511 2.511 2.511
0.000 0.000 0.000
```

## Properties
**Crystal system**: cubic
**DFT formation energy**: 2922 meV/atom
**Space group**: Pm-3m, No. 221
**Polymorph energy (0 for the lowest one)**: 2.773 eV per atom



DOS at the Fermi energy, record by record: 14.228 5.067 6.005 5.036 3.511 5.794 states/eV/cell